# YMnO3

A geometry-optimized YMnO3 structure (GGA+U, Alexandria via LeMat-Bulk).

Structure (CIF):
```
data_YMnO3
_chemical_formula_sum 'Y6 Mn6 O18'
_space_group_name_H-M_alt 'P 63 c m'
_space_group_IT_number 185
_space_group_name_Hall 'P 6c -2'
_cell_length_a 6.2316
_cell_length_b 6.2316
_cell_length_c 11.5878
_cell_angle_alpha 90.00
_cell_angle_beta 90.00
_cell_angle_gamma 120.00
loop_
_atom_site_label
_atom_site_fract_x
_atom_site_fract_y
_atom_site_fract_z
Y1 0.0000 0.0000 0.0000
Y2 0.3333 0.6667 0.4571
Mn1 0.0000 0.3336 0.2254
O1 0.0000 0.0000 0.2016
O2 0.0000 0.3077 0.3897
O3 0.0000 0.3586 0.0613
O4 0.3333 0.6667 0.2452
```

Calculated values
* uncorrected energy: -8.379 eV per atom